# GGA+U MnI2OF, optimized geometry
data_MnI2OF
_chemical_formula_sum 'Mn1 I2 O1 F1'
_cell_length_a 5.741
_cell_length_b 5.741
_cell_length_c 3.603
_cell_angle_alpha 90.00
_cell_angle_beta 90.00
_cell_angle_gamma 90.00
_symmetry_space_group_name_H-M 'P 4/m m m'
_symmetry_Int_Tables_number 123
_symmetry_space_group_name_Hall '-P 4 2'
loop_
_atom_site_label
_atom_site_type_symbol
_atom_site_fract_x
_atom_site_fract_y
_atom_site_fract_z
Mn1 Mn 0.000 0.000 0.000
I1 I 0.000 0.500 0.000
O1 O 0.000 0.000 0.500
F1 F 0.500 0.500 0.500
# Calculated total energy, eV per atom: -3.826
# N(E_F), states/eV/cell: 6.6
# Energy relative to the lowest polymorph listed for this composition, meV/atom: 0